Entry from Alexandria: a relaxed structure of Ce2HoTl (GGA-PBE).

Properties
Density in g cm⁻³: 9.089
ΔE_f in eV/atom: 0.046
Energy relative to the lowest polymorph listed for this composition in eV/atom: 0.200
SG: Fm-3m

The structure in extended XYZ format:
```
4
Lattice="0.000 3.900 3.900 3.900 0.000 3.900 3.900 3.900 0.000" Properties=species:S:1:pos:R:3 pbc="T T T"
Ce 1.950 1.950 1.950
Ce 5.850 5.850 5.850
Ho 0.000 0.000 0.000
Tl 3.900 3.900 3.900
```